This record from the Alexandria database describes a geometry-optimized Ac4Mg2C structure. The functional is PBE.

For the electronic total energy, the calculation gives -3.989 eV/atom. Its total magnetic moment is 0.000 μB per atom. The value obtained for the density of states at the Fermi level is 8.09 states/eV/f.u. The formation energy is 0.132 eV/atom.

The structure belongs to space group I4/mmm (No. 139); the cell edges are 5.532, 5.532 and 16.705 Å and the angles 90.00°, 90.00° and 90.00°. The inequivalent atoms are Ac at (0.000, 0.000, 0.160), Ac at (0.000, 0.500, 0.000), Mg at (0.000, 0.000, 0.369) and C at (0.000, 0.000, 0.000).

This record from the Alexandria database describes a geometry-optimized NaAcPr2 structure. The functional is PBE.

For the electronic total energy, the calculation gives -3.613 eV/atom. Its total magnetic moment is 0.001 μB per atom. The value obtained for the density of states at the Fermi level is 6.66 states/eV/f.u. The formation energy is 0.134 eV/atom. Its relative energy among the computed polymorphs is 16 meV per atom.

The structure belongs to space group R3m (No. 160, hexagonal axes); the cell edges are 3.7633, 3.7633 and 38.0124 Å and the angles 90.00°, 90.00° and 120.00°. The inequivalent atoms are Na at (0.0000, 0.0000, 0.0000), Ac at (0.0000, 0.0000, 0.8333), Pr at (0.0000, 0.0000, 0.4171) and Pr at (0.0000, 0.0000, 0.5829).

This record from the Alexandria database describes a geometry-optimized CdSiSnO5 structure. The functional is PBE.

The uncorrected formation energy comes out at -1932.2 meV per atom. For the electronic total energy, the calculation gives -6.324 eV/atom. Its total magnetic moment is 0.000 μB per atom. The value obtained for the density of states at the Fermi level is 0.00 states/eV/f.u.

The structure belongs to space group C2/c (No. 15); the cell edges are 6.945, 8.792 and 7.404 Å and the angles 90.00°, 114.87° and 90.00°. The inequivalent atoms are Cd at (0.000, 0.165, 0.250), Si at (0.000, 0.177, 0.750), Sn at (0.000, 0.500, 0.000), O at (0.000, 0.410, 0.250), O at (0.100, 0.284, 0.627) and O at (0.177, 0.057, 0.904).

This record from the Alexandria database describes a geometry-optimized AlSiBi2H structure. The functional is PBE.

For the electronic total energy, the calculation gives -3.588 eV/atom. Its total magnetic moment is 0.000 μB per atom. The value obtained for the density of states at the Fermi level is 2.21 states/eV/f.u.

The structure belongs to space group P4/mmm (No. 123); the cell edges are 5.547, 5.547 and 3.374 Å and the angles 90.00°, 90.00° and 90.00°. The inequivalent atoms are Al at (0.000, 0.000, 0.000), Si at (0.500, 0.500, 0.000), Bi at (0.000, 0.500, 0.500) and H at (0.500, 0.500, 0.500).

This record from the Alexandria database describes a geometry-optimized TlCoBr2 structure. The functional is PBE.

The uncorrected formation energy comes out at -214.7 meV per atom. For the electronic total energy, the calculation gives -3.419 eV/atom. Its total magnetic moment is 0.652 μB per atom. The value obtained for the density of states at the Fermi level is 6.42 states/eV/f.u. Its relative energy among the computed polymorphs is 35 meV per atom.

The structure belongs to space group R-3m (No. 166, hexagonal axes); the cell edges are 3.6901, 3.6901 and 28.4641 Å and the angles 90.00°, 90.00° and 120.00°. The inequivalent atoms are Tl at (0.0000, 0.0000, 0.0000), Co at (0.0000, 0.0000, 0.5000) and Br at (0.0000, 0.0000, 0.1155).

This record from the Alexandria database describes a geometry-optimized BiPbCl3 structure. The functional is PBE.

The uncorrected formation energy comes out at -385.1 meV per atom. For the electronic total energy, the calculation gives -3.011 eV/atom. Its total magnetic moment is 0.402 μB per atom. The value obtained for the density of states at the Fermi level is 8.14 states/eV/f.u. Its relative energy among the computed polymorphs is 0 meV per atom.

The structure belongs to space group Pm-3m (No. 221); the cell edges are 5.645, 5.645 and 5.645 Å and the angles 90.00°, 90.00° and 90.00°. The inequivalent atoms are Bi at (0.000, 0.000, 0.000), Pb at (0.500, 0.500, 0.500) and Cl at (0.000, 0.500, 0.500).

This record from the Alexandria database describes a geometry-optimized Cr3IN structure. The functional is PBE.

The uncorrected formation energy comes out at 3118.1 meV per atom. For the electronic total energy, the calculation gives -4.631 eV/atom. Its total magnetic moment is 0.000 μB per atom. The value obtained for the density of states at the Fermi level is 4.56 states/eV/f.u. Its relative energy among the computed polymorphs is 2702 meV per atom.

The structure belongs to space group Pm-3m (No. 221); the cell edges are 4.635, 4.635 and 4.635 Å and the angles 90.00°, 90.00° and 90.00°. The inequivalent atoms are Cr at (0.000, 0.000, 0.500), I at (0.000, 0.000, 0.000) and N at (0.500, 0.500, 0.500).

This record from the Alexandria database describes a geometry-optimized Rb3YNb2O9 structure. The functional is PBE.

The uncorrected formation energy comes out at -2256.0 meV per atom. For the electronic total energy, the calculation gives -7.198 eV/atom. Its total magnetic moment is 0.138 μB per atom. The value obtained for the density of states at the Fermi level is 5.56 states/eV/f.u.

The structure belongs to space group P-3m1 (No. 164); the cell edges are 6.0209, 6.0209 and 7.4104 Å and the angles 90.00°, 90.00° and 120.00°. The inequivalent atoms are Rb at (0.0000, 0.0000, 0.0000), Rb at (0.3333, 0.6667, 0.6716), Y at (0.0000, 0.0000, 0.5000), Nb at (0.3333, 0.6667, 0.1792), O at (0.0000, 0.5000, 0.0000) and O at (0.1763, 0.3526, 0.3160).

This record from the Alexandria database describes a geometry-optimized NaSbBr3 structure. The functional is PBE.

The uncorrected formation energy comes out at -659.0 meV per atom. For the electronic total energy, the calculation gives -2.751 eV/atom. Its total magnetic moment is 0.000 μB per atom. The value obtained for the density of states at the Fermi level is 2.04 states/eV/f.u. Its relative energy among the computed polymorphs is 227 meV per atom.

The structure belongs to space group Pm-3m (No. 221); the cell edges are 5.770, 5.770 and 5.770 Å and the angles 90.00°, 90.00° and 90.00°. The inequivalent atoms are Na at (0.000, 0.000, 0.000), Sb at (0.500, 0.500, 0.500) and Br at (0.000, 0.500, 0.500).

This record from the Alexandria database describes a geometry-optimized Y2Ho3ScSe6 structure. The functional is PBE.

The uncorrected formation energy comes out at -1708.1 meV per atom. For the electronic total energy, the calculation gives -6.200 eV/atom. Its total magnetic moment is 0.000 μB per atom. The value obtained for the density of states at the Fermi level is 6.01 states/eV/f.u.

The structure belongs to space group C2/m (No. 12); the cell edges are 17.584, 4.031 and 8.106 Å and the angles 90.00°, 103.30° and 90.00°. The inequivalent atoms are Y at (0.167, 0.000, 0.333), Ho at (0.000, 0.500, 0.500), Ho at (0.170, 0.000, 0.835), Sc at (0.000, 0.500, 0.000), Se at (0.002, 0.000, 0.759), Se at (0.162, 0.500, 0.079) and Se at (0.166, 0.500, 0.585).

This record from the Alexandria database describes a geometry-optimized Ac2Mg3Hg structure. The functional is PBE.

For the electronic total energy, the calculation gives -2.408 eV/atom. Its total magnetic moment is 0.000 μB per atom. The value obtained for the density of states at the Fermi level is 6.18 states/eV/f.u. The formation energy is -0.191 eV/atom.

The structure belongs to space group Pmm2 (No. 25); the cell edges are 3.762, 5.329 and 9.171 Å and the angles 90.00°, 90.00° and 90.00°. The inequivalent atoms are Ac at (0.000, 0.000, 0.000), Ac at (0.000, 0.500, 0.480), Mg at (0.500, 0.000, 0.656), Mg at (0.500, 0.500, 0.155), Mg at (0.500, 0.500, 0.820) and Hg at (0.500, 0.000, 0.326).

This record from the Alexandria database describes a geometry-optimized LaReMo2 structure. The functional is PBE.

For the electronic total energy, the calculation gives -9.376 eV/atom. Its total magnetic moment is 0.000 μB per atom. The value obtained for the density of states at the Fermi level is 5.02 states/eV/f.u. The formation energy is 0.383 eV/atom. Its relative energy among the computed polymorphs is 0 meV per atom.

The structure belongs to space group P4mm (No. 99); the cell edges are 3.184, 3.184 and 7.682 Å and the angles 90.00°, 90.00° and 90.00°. The inequivalent atoms are La at (0.000, 0.000, 0.000), Re at (0.500, 0.500, 0.696), Mo at (0.000, 0.000, 0.509) and Mo at (0.500, 0.500, 0.314).